AcTe2Pb | PBE | optimized geometry

a = 5.0095 Å, b = 5.0095 Å, c = 20.7474 Å
α = 90.00°, β = 90.00°, γ = 120.00°
Closest atoms and distances in Å follow each position.
Space group R-3m (No. 166, hexagonal axes)
Inequivalent atoms, fractional coordinates:
Ac1 0.0000 0.0000 0.0000 (multiplicity 3)  6 Te 3.39
Te1 0.0000 0.0000 0.2477 (multiplicity 6)  3 Pb 3.34, 3 Ac 3.39
Pb1 0.0000 0.0000 0.5000 (multiplicity 3)  6 Te 3.34

Properties
energy relative to the elements, uncorrected = -872 meV per atom
total magnetic moment = 0.0 Bohr magnetons per cell